Entry 1:
A plane-wave DFT calculation with GGA-PBE was carried out for a relaxed structure of Tc4Sn.

It has space group Pm-3m (No. 221), with a = 4.7849 Å, b = 4.7849 Å, c = 4.7849 Å, α = 90.00°, β = 90.00° and γ = 90.00°. Symmetry generates all atoms from Tc at (0.0000, 0.0000, 0.0000), Tc at (0.0000, 0.5000, 0.5000) and Sn at (0.5000, 0.5000, 0.5000).

The calculation puts the total energy at -6.679 eV/atom. The value obtained for the spin magnetization is 0.38 μB per cell. The formation energy comes out at 2415 meV/atom.

***

Entry 2:
A plane-wave DFT calculation with GGA-PBE was carried out for a relaxed structure of Tc2Sn5.

It has space group C2/c (No. 15), with a = 14.3533 Å, b = 5.5337 Å, c = 7.7864 Å, α = 90.00°, β = 101.43° and γ = 90.00°. Symmetry generates all atoms from Tc at (0.1076, 0.1840, 0.0729), Sn at (0.0000, 0.1316, 0.7500), Sn at (0.0852, 0.3481, 0.4211) and Sn at (0.2231, 0.0854, 0.8289).

The calculation puts the total energy at -5.750 eV/atom. The value obtained for the spin magnetization is 0.00 μB per cell. The formation energy comes out at 71 meV/atom.

***

Entry 3:
A plane-wave DFT calculation with GGA-PBE was carried out for a relaxed structure of TcSn5.

It has space group I4/mcm (No. 140), with a = 7.1340 Å, b = 7.1340 Å, c = 11.3506 Å, α = 90.00°, β = 90.00° and γ = 90.00°. Symmetry generates all atoms from Tc at (0.0000, 0.0000, 0.2500), Sn at (0.0000, 0.0000, 0.0000) and Sn at (0.1514, 0.3486, 0.1440).

The calculation puts the total energy at -5.021 eV/atom. The value obtained for the spin magnetization is 0.00 μB per cell. The formation energy comes out at 43 meV/atom.

***

Entry 4:
A plane-wave DFT calculation with GGA-PBE was carried out for a relaxed structure of TcSn.

It has space group I4/mmm (No. 139), with a = 3.0779 Å, b = 3.0779 Å, c = 16.1188 Å, α = 90.00°, β = 90.00° and γ = 90.00°. Symmetry generates all atoms from Tc at (0.0000, 0.0000, 0.2006) and Sn at (0.0000, 0.0000, 0.4102).

The calculation puts the total energy at -7.200 eV/atom. The value obtained for the spin magnetization is 0.00 μB per cell. The formation energy comes out at -15 meV/atom.

***

Entry 5:
A plane-wave DFT calculation with GGA-PBE was carried out for a relaxed structure of Tc2Sn13.

It has space group P-1 (No. 2), with a = 6.9146 Å, b = 7.2498 Å, c = 8.4233 Å, α = 73.09°, β = 75.49° and γ = 80.15°. Symmetry generates all atoms from Tc at (0.1820, 0.0759, 0.1743), Sn at (0.0000, 0.0000, 0.5000), Sn at (0.0694, 0.1800, 0.8559), Sn at (0.2078, 0.4319, 0.2130), Sn at (0.2140, 0.7317, 0.7894), Sn at (0.2751, 0.4808, 0.5417), Sn at (0.4479, 0.7872, 0.0373) and Sn at (0.4758, 0.9230, 0.3628).

The calculation puts the total energy at -4.792 eV/atom. The value obtained for the spin magnetization is 0.00 μB per cell. The formation energy comes out at 59 meV/atom.

***

Entry 6:
A plane-wave DFT calculation with GGA-PBE was carried out for a relaxed structure of TcSn.

It has space group Pm-3m (No. 221), with a = 3.2627 Å, b = 3.2627 Å, c = 3.2627 Å, α = 90.00°, β = 90.00° and γ = 90.00°. Symmetry generates all atoms from Tc at (0.0000, 0.0000, 0.0000) and Sn at (0.5000, 0.5000, 0.5000).

The calculation puts the total energy at -7.003 eV/atom. The value obtained for the spin magnetization is 0.00 μB per cell. The formation energy comes out at 182 meV/atom.

***

Entry 7:
A plane-wave DFT calculation with GGA-PBE was carried out for a relaxed structure of TcSn4.

It has space group Pm-3m (No. 221), with a = 5.2107 Å, b = 5.2107 Å, c = 5.2107 Å, α = 90.00°, β = 90.00° and γ = 90.00°. Symmetry generates all atoms from Tc at (0.0000, 0.0000, 0.0000), Sn at (0.0000, 0.0000, 0.5000) and Sn at (0.5000, 0.5000, 0.5000).

The calculation puts the total energy at -4.956 eV/atom. For the excess energy over the best structure of this formula in the dataset, the calculation gives 242 meV per atom. The value obtained for the spin magnetization is 1.35 μB per cell. The formation energy comes out at 319 meV/atom.

***

Entry 8:
A plane-wave DFT calculation with GGA-PBE was carried out for a relaxed structure of Tc5Sn.

It has space group Cmmm (No. 65), with a = 4.3594 Å, b = 13.5919 Å, c = 3.1418 Å, α = 90.00°, β = 90.00° and γ = 90.00°. Symmetry generates all atoms from Tc at (0.0000, 0.0000, 0.0000), Tc at (0.0000, 0.1793, 0.5000), Tc at (0.0000, 0.3364, 0.0000) and Sn at (0.0000, 0.5000, 0.5000).

The calculation puts the total energy at -9.094 eV/atom. The value obtained for the spin magnetization is 0.00 μB per cell. The formation energy comes out at 211 meV/atom.

***

Entry 9:
A plane-wave DFT calculation with GGA-PBE was carried out for a relaxed structure of TcSn4.

It has space group C2/c (No. 15), with a = 15.0280 Å, b = 13.0519 Å, c = 9.7452 Å, α = 90.00°, β = 128.73° and γ = 90.00°. Symmetry generates all atoms from Tc at (0.0000, 0.2217, 0.2500), Tc at (0.2134, 0.4271, 0.8424), Sn at (0.0000, 0.3679, 0.7500), Sn at (0.0534, 0.1830, 0.0047), Sn at (0.0860, 0.0394, 0.4501), Sn at (0.1132, 0.3805, 0.2453), Sn at (0.1852, 0.2754, 0.6040), Sn at (0.2283, 0.4874, 0.1128) and Sn at (0.2500, 0.2500, 0.0000).

The calculation puts the total energy at -5.158 eV/atom. For the excess energy over the best structure of this formula in the dataset, the calculation gives 41 meV per atom. The value obtained for the spin magnetization is 0.01 μB per cell. The formation energy comes out at 118 meV/atom.

***

Entry 10:
A plane-wave DFT calculation with GGA-PBE was carried out for a relaxed structure of TcSn4.

It has space group P-42_1c (No. 114), with a = 5.9892 Å, b = 5.9892 Å, c = 6.6530 Å, α = 90.00°, β = 90.00° and γ = 90.00°. Symmetry generates all atoms from Tc at (0.0000, 0.0000, 0.0000) and Sn at (0.1973, 0.1989, 0.3436).

The calculation puts the total energy at -5.199 eV/atom. For the excess energy over the best structure of this formula in the dataset, the calculation gives 0 meV per atom. The value obtained for the spin magnetization is 0.62 μB per cell. The formation energy comes out at 77 meV/atom.

***

Entry 11:
A plane-wave DFT calculation with GGA-PBE was carried out for a relaxed structure of TcSnTe2.

It has space group R-3m (No. 166, hexagonal axes), with a = 3.6256 Å, b = 3.6256 Å, c = 29.6701 Å, α = 90.00°, β = 90.00° and γ = 120.00°. Symmetry generates all atoms from Tc at (0.0000, 0.0000, 0.0000), Sn at (0.0000, 0.0000, 0.5000) and Te at (0.0000, 0.0000, 0.3913).

The calculation puts the total energy at -5.073 eV/atom. The value obtained for the spin magnetization is 4.83 μB per cell. The calculation puts the formation energy without anion corrections at 0.090 eV/atom.

***

Entry 12:
A plane-wave DFT calculation with GGA-PBE was carried out for a relaxed structure of TcSnTe3.

It has space group Pm-3m (No. 221), with a = 5.6531 Å, b = 5.6531 Å, c = 5.6531 Å, α = 90.00°, β = 90.00° and γ = 90.00°. Symmetry generates all atoms from Tc at (0.0000, 0.0000, 0.0000), Sn at (0.5000, 0.5000, 0.5000) and Te at (0.0000, 0.5000, 0.5000).

The calculation puts the total energy at -3.572 eV/atom. For the excess energy over the best structure of this formula in the dataset, the calculation gives 773 meV per atom. The value obtained for the spin magnetization is 4.55 μB per cell. The calculation puts the formation energy without anion corrections at 1.187 eV/atom.

***

Entry 13:
A plane-wave DFT calculation with GGA-PBE was carried out for a relaxed structure of Tc3SnTe.

It has space group Pm-3m (No. 221), with a = 4.8612 Å, b = 4.8612 Å, c = 4.8612 Å, α = 90.00°, β = 90.00° and γ = 90.00°. Symmetry generates all atoms from Tc at (0.0000, 0.0000, 0.5000), Sn at (0.5000, 0.5000, 0.5000) and Te at (0.0000, 0.0000, 0.0000).

The calculation puts the total energy at -6.104 eV/atom. For the excess energy over the best structure of this formula in the dataset, the calculation gives 0 meV per atom. The value obtained for the spin magnetization is 3.01 μB per cell. The calculation puts the formation energy without anion corrections at 1.545 eV/atom.

***

Entry 14:
A plane-wave DFT calculation with GGA-PBE was carried out for a relaxed structure of TcSnTe2.

It has space group R-3m (No. 166, hexagonal axes), with a = 3.2441 Å, b = 3.2441 Å, c = 32.8804 Å, α = 90.00°, β = 90.00° and γ = 120.00°. Symmetry generates all atoms from Tc at (0.0000, 0.0000, 0.0000), Sn at (0.0000, 0.0000, 0.5000) and Te at (0.0000, 0.0000, 0.0779).

The calculation puts the total energy at -4.507 eV/atom. The value obtained for the spin magnetization is 0.00 μB per cell. The calculation puts the formation energy without anion corrections at 0.656 eV/atom.

***

Entry 15:
A plane-wave DFT calculation with GGA-PBE was carried out for a relaxed structure of Tc4SnTe2.

It has space group I4/mmm (No. 139), with a = 4.8262 Å, b = 4.8262 Å, c = 13.6897 Å, α = 90.00°, β = 90.00° and γ = 90.00°. Symmetry generates all atoms from Tc at (0.0000, 0.0000, 0.1953), Tc at (0.0000, 0.5000, 0.0000), Sn at (0.0000, 0.0000, 0.0000) and Te at (0.0000, 0.0000, 0.3795).

The calculation puts the total energy at -5.951 eV/atom. The value obtained for the spin magnetization is 6.70 μB per cell. The calculation puts the formation energy without anion corrections at 1.442 eV/atom.

***

Entry 16:
A plane-wave DFT calculation with GGA-PBE was carried out for a relaxed structure of TcSn3Te.

It has space group Pm-3m (No. 221), with a = 5.7662 Å, b = 5.7662 Å, c = 5.7662 Å, α = 90.00°, β = 90.00° and γ = 90.00°. Symmetry generates all atoms from Tc at (0.0000, 0.0000, 0.0000), Sn at (0.0000, 0.5000, 0.5000) and Te at (0.5000, 0.5000, 0.5000).

The calculation puts the total energy at -3.641 eV/atom. For the excess energy over the best structure of this formula in the dataset, the calculation gives 1360 meV per atom. The value obtained for the spin magnetization is 4.00 μB per cell. The calculation puts the formation energy without anion corrections at 1.462 eV/atom.

***

Entry 17:
A plane-wave DFT calculation with GGA-PBE was carried out for a relaxed structure of TcSn3Te.

It has space group Pm-3m (No. 221), with a = 5.2058 Å, b = 5.2058 Å, c = 5.2058 Å, α = 90.00°, β = 90.00° and γ = 90.00°. Symmetry generates all atoms from Tc at (0.0000, 0.0000, 0.0000), Sn at (0.0000, 0.0000, 0.5000) and Te at (0.5000, 0.5000, 0.5000).

The calculation puts the total energy at -5.001 eV/atom. For the excess energy over the best structure of this formula in the dataset, the calculation gives 0 meV per atom. The value obtained for the spin magnetization is 0.00 μB per cell. The calculation puts the formation energy without anion corrections at 0.102 eV/atom.

***

Entry 18:
A plane-wave DFT calculation with GGA-PBE was carried out for a relaxed structure of TcSnTe2.

It has space group I-42d (No. 122), with a = 6.7797 Å, b = 6.7797 Å, c = 11.6307 Å, α = 90.00°, β = 90.00° and γ = 90.00°. Symmetry generates all atoms from Tc at (0.0000, 0.0000, 0.0000), Sn at (0.0000, 0.0000, 0.5000) and Te at (0.1875, 0.2500, 0.1250).

The calculation puts the total energy at -4.847 eV/atom. The value obtained for the spin magnetization is 0.00 μB per cell. The calculation puts the formation energy without anion corrections at 0.316 eV/atom.

***

Entry 19:
A plane-wave DFT calculation with GGA-PBE was carried out for a relaxed structure of TcSnTe3.

It has space group Pm-3m (No. 221), with a = 5.2692 Å, b = 5.2692 Å, c = 5.2692 Å, α = 90.00°, β = 90.00° and γ = 90.00°. Symmetry generates all atoms from Tc at (0.0000, 0.0000, 0.0000), Sn at (0.5000, 0.5000, 0.5000) and Te at (0.0000, 0.0000, 0.5000).

The calculation puts the total energy at -4.345 eV/atom. For the excess energy over the best structure of this formula in the dataset, the calculation gives 0 meV per atom. The value obtained for the spin magnetization is 0.00 μB per cell. The calculation puts the formation energy without anion corrections at 0.413 eV/atom.

***

Entry 20:
A plane-wave DFT calculation with GGA-PBE was carried out for a relaxed structure of Th8Tc3SnTe4.

It has space group R-3m (No. 166, hexagonal axes), with a = 8.6140 Å, b = 8.6140 Å, c = 22.8056 Å, α = 90.00°, β = 90.00° and γ = 120.00°. Symmetry generates all atoms from Th at (0.0000, 0.0000, 0.2354), Th at (0.0265, 0.5132, 0.7654), Tc at (0.0000, 0.5000, 0.5000), Sn at (0.0000, 0.0000, 0.5000), Te at (0.0000, 0.0000, 0.0000) and Te at (0.0000, 0.5000, 0.0000).

The calculation puts the total energy at -7.325 eV/atom. The value obtained for the spin magnetization is 0.00 μB per cell. The calculation puts the formation energy without anion corrections at -0.636 eV/atom.